Material: Hg3SBr5
Method: DFT, GGA-PBE
State: relaxed

Geometry as POSCAR:
```
Hg3SBr5
1.0
-3.2022 -2.1566 8.3806
2.3850 -8.4042 2.9698
6.8194 -2.6688 10.1233
Br Hg S
10 6 2
Direct
0.6519 0.0201 0.6094
0.5058 0.5058 0.6987
0.3481 0.9799 0.3906
0.4942 0.4942 0.3013
0.1505 0.1505 0.1140
0.3180 0.6820 0.0000
0.9799 0.3481 0.3906
0.0201 0.6519 0.6094
0.8495 0.8495 0.8860
0.6820 0.3180 0.0000
0.3316 0.3316 0.7265
0.6539 0.6539 0.9502
0.0000 0.0000 0.0000
0.0000 0.0000 0.5000
0.3461 0.3461 0.0498
0.6684 0.6684 0.2735
0.1770 0.1770 0.7315
0.8230 0.8230 0.2685
```

DOS at the Fermi energy   6.6 states/eV per cell
Uncorrected formation energy   -231 meV/atom
DFT total energy   -1.72 eV per atom
Calculated volume   682 Å³/cell